An optimized crystal structure of NbSiIr, computed with PBE-GGA.

**Calculated total energy**: -0.3226 hartree per atom
**Theoretical density**: 10.95 Mg/m³

Lattice parameters (Å, degrees): 4.224 4.224 6.149 90.00 90.00 120.00
Atoms (fractional coordinates):
Nb: 0.000 0.000 0.000
Nb: 0.000 0.000 0.500
Si: 0.333 0.667 0.240
Si: 0.667 0.333 0.740
Ir: 0.333 0.667 0.836
Ir: 0.667 0.333 0.336